# 1
## NaNb2Mo2 (PBE-GGA)

Data for a relaxed structure of NaNb2Mo2.

Calculated values
M_tot = 0.0 μB per cell
ΔE to the lowest computed polymorph = 0.0 meV/atom
E_tot = -8.024 eV/atom
Crystal system = tetragonal
Calculated volume = 19.33 Å³ per atom
Energy relative to the elements = 0.600 eV per atom

Unit cell a=7.8344 b=7.8344 c=3.1493 alpha=90.00 beta=90.00 gamma=90.00
Last column: nearest neighbours and their distance in Å.
Space group P4/mbm (No. 127)
Inequivalent atoms, fractional coordinates:
Na 0.0000 0.0000 0.0000 x2  4 Mo 3.03, 2 Na 3.15, 8 Nb 3.40
Nb 0.1440 0.3560 0.5000 x4  6 Mo 2.71-2.88
Mo 0.1381 0.6381 0.0000 x4  6 Nb 2.71-2.88, 2 Na 3.03

# 2
## NaNb2Mo2 (PBE-GGA)

Data for a relaxed structure of NaNb2Mo2.

Calculated values
M_tot = 0.0 μB per cell
ΔE to the lowest computed polymorph = 289.4 meV/atom
E_tot = -7.734 eV/atom
Crystal system = tetragonal
Calculated volume = 21.11 Å³ per atom
Energy relative to the elements = 0.890 eV per atom

Unit cell a=4.3045 b=4.3045 c=11.3939 alpha=90.00 beta=90.00 gamma=90.00
Last column: nearest neighbours and their distance in Å.
Space group I4/mmm (No. 139)
Inequivalent atoms, fractional coordinates:
Na 0.0000 0.0000 0.0000 x2  8 Mo 3.31, 8 Nb 3.57
Nb 0.0000 0.5000 0.2500 x4  4 Mo 2.65
Mo 0.0000 0.0000 0.3850 x4  1 Mo 2.62, 4 Nb 2.65

# 3
## NaNbMo2 (PBE-GGA)

Data for a relaxed structure of NaNbMo2.

Calculated values
M_tot = 0.0 μB per cell
ΔE to the lowest computed polymorph = 0.0 meV/atom
E_tot = -7.339 eV/atom
Crystal system = cubic
Calculated volume = 17.34 Å³ per atom
Energy relative to the elements = 0.923 eV per atom

Unit cell a=6.5218 b=6.5218 c=6.5218 alpha=90.00 beta=90.00 gamma=90.00
Last column: nearest neighbours and their distance in Å.
Space group Fm-3m (No. 225)
Inequivalent atoms, fractional coordinates:
Na 0.0000 0.0000 0.0000 x4  8 Mo 2.82
Nb 0.0000 0.0000 0.5000 x4  8 Mo 2.82
Mo 0.2500 0.2500 0.2500 x8  4 Nb 2.82, 4 Na 2.82